Entry 1:
# ScTa2Hg, optimized geometry, DFT PBE-GGA
data_ScTa2Hg
_symmetry_space_group_name_H-M 'P 1'
_symmetry_Int_Tables_number 1
_symmetry_space_group_name_Hall 'P 1'
_cell_length_a 5.166
_cell_length_b 5.166
_cell_length_c 5.444
_cell_angle_alpha 97.54
_cell_angle_beta 97.54
_cell_angle_gamma 33.54
loop_
_atom_site_label
_atom_site_type_symbol
_atom_site_fract_x
_atom_site_fract_y
_atom_site_fract_z
_atom_site_occupancy
Sc1 Sc 0.000 0.000 0.000 1
Ta1 Ta 0.231 0.231 0.700 1
Ta2 Ta 0.488 0.488 0.514 1
Hg1 Hg 0.749 0.749 0.215 1
# total DFT energy (no corrections): -7.376 eV/atom
# magnetization: 0.0 μB per formula unit
# N(E_F): 4.34 states/eV per cell
# formation energy from the elements: 0.2085 eV per atom


Entry 2:
# Al3CoW, optimized geometry, DFT PBE-GGA
data_Al3CoW
_symmetry_space_group_name_H-M 'P 1'
_symmetry_Int_Tables_number 1
_symmetry_space_group_name_Hall 'P 1'
_cell_length_a 4.321
_cell_length_b 4.321
_cell_length_c 4.321
_cell_angle_alpha 90.00
_cell_angle_beta 90.00
_cell_angle_gamma 90.00
loop_
_atom_site_label
_atom_site_type_symbol
_atom_site_fract_x
_atom_site_fract_y
_atom_site_fract_z
_atom_site_occupancy
Al1 Al 0.000 0.000 0.500 1
Al2 Al 0.000 0.500 0.000 1
Al3 Al 0.500 0.000 0.000 1
Co1 Co 0.000 0.000 0.000 1
W1 W 0.500 0.500 0.500 1
# total DFT energy (no corrections): -5.612 eV/atom
# magnetization: 0.0 μB per formula unit
# N(E_F): 5.43 states/eV per cell
# formation energy from the elements: 0.6454 eV per atom


Q: Which of these has the lowest formation energy from the elements?
A: ScTa2Hg